1.
VASP calculation (GGA-PBE) on an optimized crystal structure of YMgBe2.

Cell and atoms, written as POSCAR:
```
YMgBe2
1.0
3.608 0.000 0.000
0.000 3.981 0.000
-1.796 0.000 5.038
Y Mg Be
1 1 2
Direct
0.000 0.000 0.000
0.290 0.500 0.579
0.605 0.500 0.210
0.703 0.000 0.409
```

Summary:
- Electronic total energy: -15.15 eV/cell
- Energy of formation: 91 meV per atom

=====

2.
VASP calculation (GGA-PBE) on an optimized crystal structure of Y2MgBe.

Cell and atoms, written as POSCAR:
```
Y2MgBe
1.0
-2.197 2.197 4.905
2.197 -2.197 4.905
2.197 2.197 -4.905
Y Mg Be
2 1 1
Direct
0.000 0.000 0.000
0.750 0.250 0.500
0.500 0.500 0.000
0.250 0.750 0.500
```

Summary:
- Electronic total energy: -17.22 eV/cell
- Relative energy among the computed polymorphs: 274 meV per atom
- Energy of formation: 256 meV per atom

=====

3.
VASP calculation (GGA-PBE) on an optimized crystal structure of YMgBe2.

Cell and atoms, written as POSCAR:
```
YMgBe2
1.0
5.163 -1.833 0.000
5.163 1.833 0.000
-3.502 0.000 7.785
Y Mg Be
2 2 4
Direct
0.012 0.012 0.291
0.988 0.988 0.709
0.332 0.332 0.911
0.668 0.668 0.089
0.251 0.251 0.582
0.362 0.362 0.424
0.638 0.638 0.576
0.749 0.749 0.418
```

Summary:
- Electronic total energy: -30.79 eV/cell
- Energy of formation: 29 meV per atom

=====

4.
VASP calculation (GGA-PBE) on an optimized crystal structure of Y2Mg2Be.

Cell and atoms, written as POSCAR:
```
Y2Mg2Be
1.0
6.818 0.000 0.000
0.000 6.818 0.000
0.000 0.000 5.168
Y Mg Be
4 4 2
Direct
0.174 0.326 0.000
0.326 0.826 0.000
0.674 0.174 0.000
0.826 0.674 0.000
0.147 0.647 0.500
0.353 0.147 0.500
0.647 0.853 0.500
0.853 0.353 0.500
0.000 0.000 0.500
0.500 0.500 0.500
```

Summary:
- Electronic total energy: -37.81 eV/cell
- Relative energy among the computed polymorphs: 0 meV per atom
- Energy of formation: 188 meV per atom

=====

5.
VASP calculation (GGA-PBE) on an optimized crystal structure of YMgBe2.

Cell and atoms, written as POSCAR:
```
YMgBe2
1.0
2.951 0.000 0.000
0.000 3.083 0.000
0.000 0.000 7.531
Y Mg Be
1 1 2
Direct
0.000 0.000 0.000
0.500 0.500 0.358
0.000 0.000 0.605
0.500 0.500 0.728
```

Summary:
- Electronic total energy: -14.57 eV/cell
- Energy of formation: 236 meV per atom

=====

6.
VASP calculation (GGA-PBE) on an optimized crystal structure of Y2Mg2Be.

Cell and atoms, written as POSCAR:
```
Y2Mg2Be
1.0
-1.867 1.867 9.066
1.867 -1.867 9.066
1.867 1.867 -9.066
Y Mg Be
2 2 1
Direct
0.087 0.087 0.000
0.913 0.913 0.000
0.250 0.750 0.500
0.750 0.250 0.500
0.500 0.500 0.000
```

Summary:
- Electronic total energy: -18.19 eV/cell
- Relative energy among the computed polymorphs: 143 meV per atom
- Energy of formation: 331 meV per atom

=====

7.
VASP calculation (GGA-PBE) on an optimized crystal structure of Y2Mg2Be.

Cell and atoms, written as POSCAR:
```
Y2Mg2Be
1.0
7.301 0.000 0.000
0.000 7.301 0.000
0.000 0.000 5.168
Y Mg Be
4 4 2
Direct
0.155 0.345 0.000
0.345 0.845 0.000
0.655 0.155 0.000
0.845 0.655 0.000
0.152 0.652 0.500
0.348 0.152 0.500
0.652 0.848 0.500
0.848 0.348 0.500
0.000 0.000 0.000
0.500 0.500 0.000
```

Summary:
- Electronic total energy: -35.29 eV/cell
- Relative energy among the computed polymorphs: 252 meV per atom
- Energy of formation: 440 meV per atom

=====

8.
VASP calculation (GGA-PBE) on an optimized crystal structure of YMgBe2.

Cell and atoms, written as POSCAR:
```
YMgBe2
1.0
-1.938 2.377 7.471
1.938 -2.377 7.471
1.938 2.377 -7.471
Y Mg Be
2 2 4
Direct
0.396 0.146 0.250
0.604 0.854 0.750
0.079 0.329 0.750
0.921 0.671 0.250
0.000 0.500 0.500
0.216 0.966 0.250
0.500 0.500 0.000
0.784 0.034 0.750
```

Summary:
- Electronic total energy: -30.80 eV/cell
- Energy of formation: 27 meV per atom

=====

9.
VASP calculation (GGA-PBE) on an optimized crystal structure of YMgBe2.

Cell and atoms, written as POSCAR:
```
YMgBe2
1.0
3.746 0.000 0.000
0.000 2.326 8.691
0.000 -2.326 8.691
Y Mg Be
2 2 4
Direct
0.000 0.000 0.000
0.000 0.219 0.219
0.500 0.385 0.385
0.500 0.781 0.781
0.000 0.601 0.601
0.500 0.376 0.867
0.500 0.524 0.524
0.500 0.867 0.376
```

Summary:
- Electronic total energy: -30.53 eV/cell
- Energy of formation: 62 meV per atom

=====

10.
VASP calculation (GGA-PBE) on an optimized crystal structure of YMgBe.

Cell and atoms, written as POSCAR:
```
YMgBe
1.0
-1.636 1.636 5.841
1.636 -1.636 5.841
1.636 1.636 -5.841
Y Mg Be
1 1 1
Direct
0.000 0.000 0.000
0.280 0.280 0.000
0.652 0.652 0.000
```

Summary:
- Electronic total energy: -11.34 eV/cell
- Relative energy among the computed polymorphs: 149 meV per atom
- Energy of formation: 148 meV per atom

=====

11.
VASP calculation (GGA-PBE) on an optimized crystal structure of YMg2Be.

Cell and atoms, written as POSCAR:
```
YMg2Be
1.0
3.269 0.000 0.000
0.000 3.269 0.000
0.000 0.000 7.938
Y Mg Be
1 2 1
Direct
0.000 0.000 0.000
0.000 0.000 0.412
0.500 0.500 0.685
0.500 0.500 0.226
```

Summary:
- Electronic total energy: -13.00 eV/cell
- Energy of formation: 96 meV per atom

=====

12.
VASP calculation (GGA-PBE) on an optimized crystal structure of YMgBe2.

Cell and atoms, written as POSCAR:
```
YMgBe2
1.0
1.784 1.030 13.752
-1.784 1.030 13.752
0.000 -2.059 13.752
Y Mg Be
2 2 4
Direct
0.000 0.000 0.000
0.470 0.470 0.470
0.265 0.265 0.265
0.871 0.871 0.871
0.076 0.076 0.076
0.394 0.394 0.394
0.711 0.711 0.711
0.759 0.759 0.759
```

Summary:
- Electronic total energy: -31.05 eV/cell
- Energy of formation: -3 meV per atom

=====

13.
VASP calculation (GGA-PBE) on an optimized crystal structure of YMgBe2.

Cell and atoms, written as POSCAR:
```
YMgBe2
1.0
-2.274 2.274 3.224
2.274 -2.274 3.224
2.274 2.274 -3.224
Y Mg Be
1 1 2
Direct
0.000 0.000 0.000
0.750 0.250 0.500
0.250 0.750 0.500
0.500 0.500 0.000
```

Summary:
- Electronic total energy: -14.38 eV/cell
- Energy of formation: 283 meV per atom

=====

14.
VASP calculation (GGA-PBE) on an optimized crystal structure of YMgBe2.

Cell and atoms, written as POSCAR:
```
YMgBe2
1.0
3.341 -1.918 0.000
3.341 1.918 0.000
-2.201 0.000 5.867
Y Mg Be
1 1 2
Direct
0.000 0.000 0.000
0.815 0.815 0.439
0.229 0.229 0.685
0.562 0.562 0.683
```

Summary:
- Electronic total energy: -15.07 eV/cell
- Energy of formation: 111 meV per atom

=====

15.
VASP calculation (GGA-PBE) on an optimized crystal structure of YMg3Be.

Cell and atoms, written as POSCAR:
```
YMg3Be
1.0
4.799 0.000 0.000
0.000 4.799 0.000
0.000 0.000 4.799
Y Mg Be
1 3 1
Direct
0.000 0.000 0.000
0.000 0.500 0.500
0.500 0.000 0.500
0.500 0.500 0.000
0.500 0.500 0.500
```

Summary:
- Electronic total energy: -14.10 eV/cell
- Relative energy among the computed polymorphs: 0 meV per atom
- Energy of formation: 174 meV per atom

=====

16.
VASP calculation (GGA-PBE) on an optimized crystal structure of YMgBe.

Cell and atoms, written as POSCAR:
```
YMgBe
1.0
0.000 3.380 3.380
3.380 0.000 3.380
3.380 3.380 0.000
Y Mg Be
1 1 1
Direct
0.000 0.000 0.000
0.250 0.250 0.250
0.750 0.750 0.750
```

Summary:
- Electronic total energy: -9.23 eV/cell
- Relative energy among the computed polymorphs: 853 meV per atom
- Energy of formation: 852 meV per atom

=====

17.
VASP calculation (GGA-PBE) on an optimized crystal structure of Y2MgBe.

Cell and atoms, written as POSCAR:
```
Y2MgBe
1.0
3.460 0.000 0.000
0.000 3.460 0.000
0.000 0.000 7.929
Y Mg Be
2 1 1
Direct
0.000 0.000 0.207
0.000 0.000 0.793
0.500 0.500 0.500
0.500 0.500 0.000
```

Summary:
- Electronic total energy: -18.32 eV/cell
- Relative energy among the computed polymorphs: 0 meV per atom
- Energy of formation: -18 meV per atom

=====

18.
VASP calculation (GGA-PBE) on an optimized crystal structure of Y2MgBe.

Cell and atoms, written as POSCAR:
```
Y2MgBe
1.0
3.613 0.000 0.000
0.000 4.569 0.000
-1.785 0.000 5.901
Y Mg Be
2 1 1
Direct
0.000 0.000 0.000
0.322 0.500 0.645
0.715 0.000 0.432
0.587 0.500 0.176
```

Summary:
- Electronic total energy: -17.70 eV/cell
- Relative energy among the computed polymorphs: 154 meV per atom
- Energy of formation: 137 meV per atom

=====

19.
VASP calculation (GGA-PBE) on an optimized crystal structure of YMgBe.

Cell and atoms, written as POSCAR:
```
YMgBe
1.0
0.000 3.239 3.239
3.239 0.000 3.239
3.239 3.239 0.000
Y Mg Be
1 1 1
Direct
0.000 0.000 0.000
0.500 0.500 0.500
0.250 0.250 0.250
```

Summary:
- Electronic total energy: -11.18 eV/cell
- Relative energy among the computed polymorphs: 203 meV per atom
- Energy of formation: 202 meV per atom

=====

20.
VASP calculation (GGA-PBE) on an optimized crystal structure of YMgBe.

Cell and atoms, written as POSCAR:
```
YMgBe
1.0
4.599 0.000 0.000
-2.299 3.983 0.000
0.000 0.000 3.506
Y Mg Be
1 1 1
Direct
0.000 0.000 0.000
0.333 0.667 0.500
0.667 0.333 0.500
```

Summary:
- Electronic total energy: -11.33 eV/cell
- Relative energy among the computed polymorphs: 152 meV per atom
- Energy of formation: 151 meV per atom

=====

21.
VASP calculation (GGA-PBE) on an optimized crystal structure of Y2MgBe.

Cell and atoms, written as POSCAR:
```
Y2MgBe
1.0
-4.043 4.043 3.094
4.043 -4.043 3.094
4.043 4.043 -3.094
Y Mg Be
4 2 2
Direct
0.074 0.625 0.949
0.375 0.324 0.449
0.676 0.125 0.051
0.875 0.926 0.551
0.250 0.750 0.500
0.500 0.500 0.000
0.000 0.000 0.000
0.750 0.250 0.500
```

Summary:
- Electronic total energy: -33.37 eV/cell
- Relative energy among the computed polymorphs: 409 meV per atom
- Energy of formation: 391 meV per atom

=====

22.
VASP calculation (GGA-PBE) on an optimized crystal structure of YMgBe.

Cell and atoms, written as POSCAR:
```
YMgBe
1.0
3.763 0.000 0.000
-1.881 3.259 0.000
0.000 0.000 5.692
Y Mg Be
1 1 1
Direct
0.000 0.000 0.000
0.333 0.667 0.544
0.667 0.333 0.313
```

Summary:
- Electronic total energy: -10.73 eV/cell
- Relative energy among the computed polymorphs: 352 meV per atom
- Energy of formation: 351 meV per atom

=====

23.
VASP calculation (GGA-PBE) on an optimized crystal structure of Y2MgBe.

Cell and atoms, written as POSCAR:
```
Y2MgBe
1.0
0.000 3.632 3.632
3.632 0.000 3.632
3.632 3.632 0.000
Y Mg Be
2 1 1
Direct
0.000 0.000 0.000
0.250 0.250 0.250
0.750 0.750 0.750
0.500 0.500 0.500
```

Summary:
- Electronic total energy: -16.57 eV/cell
- Relative energy among the computed polymorphs: 437 meV per atom
- Energy of formation: 420 meV per atom

=====

24.
VASP calculation (GGA-PBE) on an optimized crystal structure of YMg2Be.

Cell and atoms, written as POSCAR:
```
YMg2Be
1.0
0.000 3.442 3.442
3.442 0.000 3.442
3.442 3.442 0.000
Y Mg Be
1 2 1
Direct
0.000 0.000 0.000
0.250 0.250 0.250
0.500 0.500 0.500
0.750 0.750 0.750
```

Summary:
- Electronic total energy: -13.05 eV/cell
- Energy of formation: 82 meV per atom

=====

25.
VASP calculation (GGA-PBE) on an optimized crystal structure of YMg2Be.

Cell and atoms, written as POSCAR:
```
YMg2Be
1.0
3.451 0.000 0.000
0.000 4.746 0.000
-1.095 0.000 5.327
Y Mg Be
1 2 1
Direct
0.000 0.000 0.000
0.356 0.500 0.721
0.644 0.500 0.279
0.500 0.000 0.500
```

Summary:
- Electronic total energy: -12.59 eV/cell
- Energy of formation: 197 meV per atom

=====

26.
VASP calculation (GGA-PBE) on an optimized crystal structure of YMgBe2.

Cell and atoms, written as POSCAR:
```
YMgBe2
1.0
2.637 -2.639 0.000
2.637 2.639 0.000
-2.633 0.000 10.329
Y Mg Be
2 2 4
Direct
0.000 0.000 0.000
0.216 0.216 0.432
0.396 0.396 0.794
0.818 0.818 0.639
0.108 0.609 0.216
0.555 0.555 0.111
0.609 0.108 0.216
0.661 0.661 0.322
```

Summary:
- Electronic total energy: -31.71 eV/cell
- Energy of formation: -86 meV per atom